Run A
Entry from the Alexandria database: a relaxed structure of HfSc2NbH (PBE-GGA).

a = 4.363 Å, b = 4.363 Å, c = 4.574 Å
α = 90.00°, β = 90.00°, γ = 90.00°
Space group P4/mmm (No. 123)
Unique sites:
Hf (0.000, 0.000, 0.000) (multiplicity 1)
Sc (0.000, 0.500, 0.500) (multiplicity 2)
Nb (0.500, 0.500, 0.000) (multiplicity 1)
H (0.000, 0.000, 0.500) (multiplicity 1)

Results
Calculated density = 6.91 g cm⁻³

---

Run B
Entry from the Alexandria database: a relaxed structure of HfSc2NbH (PBE-GGA).

a = 4.323 Å, b = 4.323 Å, c = 4.648 Å
α = 90.00°, β = 90.00°, γ = 90.00°
Space group P4/mmm (No. 123)
Unique sites:
Hf (0.000, 0.000, 0.000) (multiplicity 1)
Sc (0.000, 0.500, 0.500) (multiplicity 2)
Nb (0.500, 0.500, 0.000) (multiplicity 1)
H (0.500, 0.500, 0.500) (multiplicity 1)

Results
Calculated density = 6.93 g cm⁻³

---

run A (10 meV per atom below the next structure)

---

Run A
Entry from the Alexandria database: a relaxed structure of HfTa2NbH (PBE-GGA).

a = 4.044 Å, b = 4.044 Å, c = 4.862 Å
α = 90.00°, β = 90.00°, γ = 90.00°
Space group P4/mmm (No. 123)
Unique sites:
Hf (0.000, 0.000, 0.000) (multiplicity 1)
Ta (0.000, 0.500, 0.500) (multiplicity 2)
Nb (0.500, 0.500, 0.000) (multiplicity 1)
H (0.500, 0.500, 0.500) (multiplicity 1)

Results
Calculated density = 13.25 g cm⁻³

---

Run B
Entry from the Alexandria database: a relaxed structure of HfTa2NbH (PBE-GGA).

a = 4.029 Å, b = 4.029 Å, c = 4.898 Å
α = 90.00°, β = 90.00°, γ = 90.00°
Space group P4/mmm (No. 123)
Unique sites:
Hf (0.000, 0.000, 0.000) (multiplicity 1)
Ta (0.000, 0.500, 0.500) (multiplicity 2)
Nb (0.500, 0.500, 0.000) (multiplicity 1)
H (0.000, 0.000, 0.500) (multiplicity 1)

Results
Calculated density = 13.25 g cm⁻³

---

run B (14 meV per atom below the next structure)

---

Run A
Entry from the Alexandria database: a relaxed structure of Hf2TaNbH (PBE-GGA).

a = 4.232 Å, b = 4.232 Å, c = 4.628 Å
α = 90.00°, β = 90.00°, γ = 90.00°
Space group P4/mmm (No. 123)
Unique sites:
Hf (0.000, 0.500, 0.000) (multiplicity 2)
Ta (0.000, 0.000, 0.500) (multiplicity 1)
Nb (0.500, 0.500, 0.500) (multiplicity 1)
H (0.500, 0.500, 0.000) (multiplicity 1)

Results
Calculated density = 12.66 g cm⁻³

---

Run B
Entry from the Alexandria database: a relaxed structure of Hf2TaNbH (PBE-GGA).

a = 4.230 Å, b = 4.230 Å, c = 4.633 Å
α = 90.00°, β = 90.00°, γ = 90.00°
Space group P4/mmm (No. 123)
Unique sites:
Hf (0.000, 0.500, 0.000) (multiplicity 2)
Ta (0.000, 0.000, 0.500) (multiplicity 1)
Nb (0.500, 0.500, 0.500) (multiplicity 1)
H (0.000, 0.000, 0.000) (multiplicity 1)

Results
Calculated density = 12.66 g cm⁻³

---

run A (5 meV per atom below the next structure)

---

Run A
Entry from the Alexandria database: a relaxed structure of HfTiNb2H (PBE-GGA).

a = 4.044 Å, b = 4.044 Å, c = 4.815 Å
α = 90.00°, β = 90.00°, γ = 90.00°
Space group P4/mmm (No. 123)
Unique sites:
Hf (0.000, 0.000, 0.000) (multiplicity 1)
Ti (0.500, 0.500, 0.000) (multiplicity 1)
Nb (0.000, 0.500, 0.500) (multiplicity 2)
H (0.000, 0.000, 0.500) (multiplicity 1)

Results
Calculated density = 8.71 g cm⁻³

---

Run B
Entry from the Alexandria database: a relaxed structure of HfTiNb2H (PBE-GGA).

a = 4.051 Å, b = 4.051 Å, c = 4.784 Å
α = 90.00°, β = 90.00°, γ = 90.00°
Space group P4/mmm (No. 123)
Unique sites:
Hf (0.000, 0.000, 0.000) (multiplicity 1)
Ti (0.500, 0.500, 0.000) (multiplicity 1)
Nb (0.000, 0.500, 0.500) (multiplicity 2)
H (0.500, 0.500, 0.500) (multiplicity 1)

Results
Calculated density = 8.74 g cm⁻³

---

run B (11 meV per atom below the next structure)

---

Run A
Entry from the Alexandria database: a relaxed structure of Hf2NbZnH (PBE-GGA).

a = 4.461 Å, b = 4.461 Å, c = 3.905 Å
α = 90.00°, β = 90.00°, γ = 90.00°
Space group P4/mmm (No. 123)
Unique sites:
Hf (0.000, 0.500, 0.000) (multiplicity 2)
Nb (0.000, 0.000, 0.500) (multiplicity 1)
Zn (0.500, 0.500, 0.500) (multiplicity 1)
H (0.500, 0.500, 0.000) (multiplicity 1)

Results
Calculated density = 11.03 g cm⁻³

---

Run B
Entry from the Alexandria database: a relaxed structure of Hf2NbZnH (PBE-GGA).

a = 4.408 Å, b = 4.408 Å, c = 4.033 Å
α = 90.00°, β = 90.00°, γ = 90.00°
Space group P4/mmm (No. 123)
Unique sites:
Hf (0.000, 0.500, 0.000) (multiplicity 2)
Nb (0.000, 0.000, 0.500) (multiplicity 1)
Zn (0.500, 0.500, 0.500) (multiplicity 1)
H (0.000, 0.000, 0.000) (multiplicity 1)

Results
Calculated density = 10.94 g cm⁻³

---

run B (82 meV per atom below the next structure)

---

Run A
Entry from the Alexandria database: a relaxed structure of HfZrNb2H (PBE-GGA).

a = 4.114 Å, b = 4.114 Å, c = 4.939 Å
α = 90.00°, β = 90.00°, γ = 90.00°
Space group P4/mmm (No. 123)
Unique sites:
Hf (0.000, 0.000, 0.000) (multiplicity 1)
Zr (0.500, 0.500, 0.000) (multiplicity 1)
Nb (0.000, 0.500, 0.500) (multiplicity 2)
H (0.000, 0.000, 0.500) (multiplicity 1)

Results
Calculated density = 9.07 g cm⁻³

---

Run B
Entry from the Alexandria database: a relaxed structure of HfZrNb2H (PBE-GGA).

a = 4.120 Å, b = 4.120 Å, c = 4.927 Å
α = 90.00°, β = 90.00°, γ = 90.00°
Space group P4/mmm (No. 123)
Unique sites:
Hf (0.000, 0.000, 0.000) (multiplicity 1)
Zr (0.500, 0.500, 0.000) (multiplicity 1)
Nb (0.000, 0.500, 0.500) (multiplicity 2)
H (0.500, 0.500, 0.500) (multiplicity 1)

Results
Calculated density = 9.07 g cm⁻³

---

run B (7 meV per atom below the next structure)

---

Run A
Entry from the Alexandria database: a relaxed structure of HfNiH (PBE-GGA).

a = 8.065 Å, b = 3.306 Å, c = 7.016 Å
α = 90.00°, β = 123.16°, γ = 90.00°
Space group C2/m (No. 12)
Unique sites:
Hf (0.077, 0.000, 0.268) (multiplicity 4)
Ni (0.177, 0.500, 0.057) (multiplicity 4)
H (0.140, 0.500, 0.467) (multiplicity 4)

Results
Calculated density = 10.10 g cm⁻³

---

Run B
Entry from the Alexandria database: a relaxed structure of HfNiH (PBE-GGA).

a = 3.222 Å, b = 3.222 Å, c = 6.683 Å
α = 90.00°, β = 90.00°, γ = 90.00°
Space group P4/nmm (No. 129, origin choice 2)
Unique sites:
Hf (0.250, 0.250, 0.197) (multiplicity 2)
Ni (0.250, 0.250, 0.596) (multiplicity 2)
H (0.250, 0.750, 0.000) (multiplicity 2)

Results
Calculated density = 11.40 g cm⁻³

---

Run C
Entry from the Alexandria database: a relaxed structure of HfNiH (PBE-GGA).

a = 3.4449 Å, b = 3.4449 Å, c = 3.6350 Å
α = 90.00°, β = 90.00°, γ = 120.00°
Space group P3m1 (No. 156)
Unique sites:
Hf (0.0000, 0.0000, 0.0000) (multiplicity 1)
Ni (0.6667, 0.3333, 0.4999) (multiplicity 1)
H (0.3333, 0.6667, 0.0053) (multiplicity 1)

Results
Calculated density = 10.59 g cm⁻³

---

run B (184 meV per atom below the next structure)

---

Run A
Entry from the Alexandria database: a relaxed structure of HfNi3H6 (PBE-GGA).

a = 6.369 Å, b = 3.120 Å, c = 7.624 Å
α = 90.00°, β = 113.67°, γ = 90.00°
Space group P2_1/m (No. 11)
Unique sites:
Hf (0.236, 0.250, 0.158) (multiplicity 2)
Ni (0.025, 0.750, 0.363) (multiplicity 2)
Ni (0.335, 0.750, 0.873) (multiplicity 2)
Ni (0.392, 0.250, 0.583) (multiplicity 2)
H (0.084, 0.750, 0.019) (multiplicity 2)
H (0.097, 0.250, 0.458) (multiplicity 2)
H (0.186, 0.250, 0.847) (multiplicity 2)
H (0.318, 0.750, 0.364) (multiplicity 2)
H (0.389, 0.750, 0.674) (multiplicity 2)
H (0.450, 0.750, 0.108) (multiplicity 2)

Results
Calculated density = 8.63 g cm⁻³

---

Run B
Entry from the Alexandria database: a relaxed structure of HfNi3H6 (PBE-GGA).

a = 4.4229 Å, b = 4.4229 Å, c = 12.4919 Å
α = 90.00°, β = 90.00°, γ = 120.00°
Space group R3 (No. 146, hexagonal axes)
Unique sites:
Hf (0.0000, 0.0000, 0.0000) (multiplicity 3)
Ni (0.0000, 0.0000, 0.2178) (multiplicity 3)
Ni (0.0000, 0.0000, 0.4302) (multiplicity 3)
Ni (0.0000, 0.0000, 0.7828) (multiplicity 3)
H (0.0402, 0.3378, 0.5277) (multiplicity 9)
H (0.1632, 0.8144, 0.3515) (multiplicity 9)

Results
Calculated density = 8.49 g cm⁻³

---

run B (55 meV per atom below the next structure)

---

Run A
Entry from the Alexandria database: a relaxed structure of Hf2NiHOs (PBE-GGA).

a = 4.578 Å, b = 4.578 Å, c = 3.301 Å
α = 90.00°, β = 90.00°, γ = 90.00°
Space group P4/mmm (No. 123)
Unique sites:
Hf (0.000, 0.500, 0.000) (multiplicity 2)
Ni (0.000, 0.000, 0.500) (multiplicity 1)
H (0.000, 0.000, 0.000) (multiplicity 1)
Os (0.500, 0.500, 0.500) (multiplicity 1)

Results
Calculated density = 14.56 g cm⁻³

---

Run B
Entry from the Alexandria database: a relaxed structure of Hf2NiHOs (PBE-GGA).

a = 4.440 Å, b = 4.440 Å, c = 3.577 Å
α = 90.00°, β = 90.00°, γ = 90.00°
Space group P4/mmm (No. 123)
Unique sites:
Hf (0.000, 0.500, 0.000) (multiplicity 2)
Ni (0.000, 0.000, 0.500) (multiplicity 1)
H (0.500, 0.500, 0.000) (multiplicity 1)
Os (0.500, 0.500, 0.500) (multiplicity 1)

Results
Calculated density = 14.29 g cm⁻³

---

run A (151 meV per atom below the next structure)

---

Run A
Entry from the Alexandria database: a relaxed structure of HfNi2HPd (PBE-GGA).

a = 3.814 Å, b = 3.814 Å, c = 4.076 Å
α = 90.00°, β = 90.00°, γ = 90.00°
Space group P4/mmm (No. 123)
Unique sites:
Hf (0.000, 0.000, 0.000) (multiplicity 1)
Ni (0.000, 0.500, 0.500) (multiplicity 2)
H (0.000, 0.000, 0.500) (multiplicity 1)
Pd (0.500, 0.500, 0.000) (multiplicity 1)

Results
Calculated density = 11.30 g cm⁻³

---

Run B
Entry from the Alexandria database: a relaxed structure of HfNi2HPd (PBE-GGA).

a = 3.968 Å, b = 3.968 Å, c = 3.781 Å
α = 90.00°, β = 90.00°, γ = 90.00°
Space group P4/mmm (No. 123)
Unique sites:
Hf (0.000, 0.000, 0.000) (multiplicity 1)
Ni (0.000, 0.500, 0.500) (multiplicity 2)
H (0.500, 0.500, 0.500) (multiplicity 1)
Pd (0.500, 0.500, 0.000) (multiplicity 1)

Results
Calculated density = 11.25 g cm⁻³

---

run A (87 meV per atom below the next structure)

---

Run A
Entry from the Alexandria database: a relaxed structure of Hf2NiHPt (PBE-GGA).

a = 4.958 Å, b = 4.958 Å, c = 3.153 Å
α = 90.00°, β = 90.00°, γ = 90.00°
Space group P4/mmm (No. 123)
Unique sites:
Hf (0.000, 0.500, 0.000) (multiplicity 2)
Ni (0.000, 0.000, 0.000) (multiplicity 1)
H (0.000, 0.000, 0.500) (multiplicity 1)
Pt (0.500, 0.500, 0.500) (multiplicity 1)

Results
Calculated density = 13.11 g cm⁻³

---

Run B
Entry from the Alexandria database: a relaxed structure of Hf2NiHPt (PBE-GGA).

a = 4.526 Å, b = 4.526 Å, c = 3.467 Å
α = 90.00°, β = 90.00°, γ = 90.00°
Space group P4/mmm (No. 123)
Unique sites:
Hf (0.000, 0.500, 0.000) (multiplicity 2)
Ni (0.000, 0.000, 0.500) (multiplicity 1)
H (0.000, 0.000, 0.000) (multiplicity 1)
Pt (0.500, 0.500, 0.500) (multiplicity 1)

Results
Calculated density = 14.30 g cm⁻³

---

run B (456 meV per atom below the next structure)

---

Run A
Entry from the Alexandria database: a relaxed structure of HfNiHRh2 (PBE-GGA).

a = 3.999 Å, b = 3.999 Å, c = 3.791 Å
α = 90.00°, β = 90.00°, γ = 90.00°
Space group P4/mmm (No. 123)
Unique sites:
Hf (0.000, 0.000, 0.000) (multiplicity 1)
Ni (0.500, 0.500, 0.000) (multiplicity 1)
H (0.500, 0.500, 0.500) (multiplicity 1)
Rh (0.000, 0.500, 0.500) (multiplicity 2)

Results
Calculated density = 12.16 g cm⁻³

---

Run B
Entry from the Alexandria database: a relaxed structure of HfNiHRh2 (PBE-GGA).

a = 3.894 Å, b = 3.894 Å, c = 4.060 Å
α = 90.00°, β = 90.00°, γ = 90.00°
Space group P4/mmm (No. 123)
Unique sites:
Hf (0.000, 0.000, 0.000) (multiplicity 1)
Ni (0.500, 0.500, 0.000) (multiplicity 1)
H (0.000, 0.000, 0.500) (multiplicity 1)
Rh (0.000, 0.500, 0.500) (multiplicity 2)

Results
Calculated density = 11.97 g cm⁻³

---

run A (120 meV per atom below the next structure)